(1)
Computed, not measured: an optimized crystal structure of BiPbW4C2 at the GGA-PBE level of DFT.

a = 3.260 Å, b = 3.260 Å, c = 13.875 Å
α = 90.00°, β = 90.00°, γ = 120.00°
Fractional coordinates of all 8 atoms:
Bi1 0.000 0.000 0.000
Pb1 0.667 0.333 0.500
W1 0.000 0.000 0.329
W2 0.000 0.000 0.671
W3 0.667 0.333 0.177
W4 0.667 0.333 0.823
C1 0.333 0.667 0.251
C2 0.333 0.667 0.749

Properties
Space-group type   P-6m2, No. 187


(2)
Computed, not measured: an optimized crystal structure of MgTl2Ni2 at the GGA-PBE level of DFT.

a = 4.594 Å, b = 4.594 Å, c = 10.915 Å
α = 90.00°, β = 90.00°, γ = 120.00°
Fractional coordinates of all 10 atoms:
Mg1 0.000 0.000 0.000
Mg2 0.000 0.000 0.500
Tl1 0.333 0.667 0.117
Tl2 0.333 0.667 0.383
Tl3 0.667 0.333 0.617
Tl4 0.667 0.333 0.883
Ni1 0.333 0.667 0.640
Ni2 0.333 0.667 0.860
Ni3 0.667 0.333 0.140
Ni4 0.667 0.333 0.360

Properties
Space-group type   P6_3/mmc, No. 194


(3)
Computed, not measured: an optimized crystal structure of Ho2HfS5 at the GGA-PBE level of DFT.

a = 11.481 Å, b = 7.709 Å, c = 7.220 Å
α = 90.00°, β = 90.00°, γ = 90.00°
Fractional coordinates of all 32 atoms:
Ho1 0.179 0.003 0.024
Ho2 0.179 0.497 0.024
Ho3 0.321 0.503 0.524
Ho4 0.321 0.997 0.524
Ho5 0.679 0.003 0.476
Ho6 0.679 0.497 0.476
Ho7 0.821 0.503 0.976
Ho8 0.821 0.997 0.976
Hf1 0.006 0.750 0.576
Hf2 0.494 0.250 0.076
Hf3 0.506 0.750 0.924
Hf4 0.994 0.250 0.424
S1 0.003 0.750 0.948
S2 0.093 0.037 0.662
S3 0.093 0.463 0.662
S4 0.182 0.750 0.333
S5 0.208 0.250 0.312
S6 0.292 0.750 0.812
S7 0.318 0.250 0.833
S8 0.407 0.537 0.162
S9 0.407 0.963 0.162
S10 0.497 0.250 0.448
S11 0.503 0.750 0.552
S12 0.593 0.037 0.838
S13 0.593 0.463 0.838
S14 0.682 0.750 0.167
S15 0.708 0.250 0.188
S16 0.792 0.750 0.688
S17 0.818 0.250 0.667
S18 0.907 0.537 0.338
S19 0.907 0.963 0.338
S20 0.997 0.250 0.052

Properties
Space-group type   Pnma, No. 62


(4)
Computed, not measured: an optimized crystal structure of LiPaFe at the GGA-PBE level of DFT.

a = 5.974 Å, b = 5.974 Å, c = 5.974 Å
α = 90.00°, β = 90.00°, γ = 90.00°
Fractional coordinates of all 12 atoms:
Li1 0.000 0.000 0.000
Li2 0.000 0.500 0.500
Li3 0.500 0.000 0.500
Li4 0.500 0.500 0.000
Pa1 0.000 0.000 0.500
Pa2 0.000 0.500 0.000
Pa3 0.500 0.000 0.000
Pa4 0.500 0.500 0.500
Fe1 0.250 0.250 0.250
Fe2 0.250 0.750 0.750
Fe3 0.750 0.250 0.750
Fe4 0.750 0.750 0.250

Properties
Space-group type   F-43m, No. 216
Relative energy among the computed polymorphs   0.000 eV per atom


(5)
Computed, not measured: an optimized crystal structure of LiTaAgO3 at the GGA-PBE level of DFT.

a = 10.433 Å, b = 2.993 Å, c = 9.860 Å
α = 90.00°, β = 90.00°, γ = 90.00°
Fractional coordinates of all 24 atoms:
Li1 0.202 0.250 0.166
Li2 0.298 0.750 0.666
Li3 0.702 0.250 0.334
Li4 0.798 0.750 0.834
Ta1 0.073 0.250 0.861
Ta2 0.427 0.750 0.361
Ta3 0.573 0.250 0.639
Ta4 0.927 0.750 0.139
Ag1 0.108 0.250 0.477
Ag2 0.392 0.750 0.977
Ag3 0.608 0.250 0.023
Ag4 0.892 0.750 0.523
O1 0.021 0.250 0.223
O2 0.113 0.750 0.001
O3 0.219 0.250 0.761
O4 0.281 0.750 0.261
O5 0.387 0.250 0.501
O6 0.479 0.750 0.723
O7 0.521 0.250 0.277
O8 0.613 0.750 0.499
O9 0.719 0.250 0.739
O10 0.781 0.750 0.239
O11 0.887 0.250 0.999
O12 0.979 0.750 0.777

Properties
Space-group type   Pnma, No. 62


(6)
Computed, not measured: an optimized crystal structure of Cs2DyHoO4 at the GGA-PBE level of DFT.

a = 3.521 Å, b = 3.521 Å, c = 13.552 Å
α = 90.00°, β = 90.00°, γ = 120.00°
Fractional coordinates of all 8 atoms:
Cs1 0.333 0.667 0.250
Cs2 0.667 0.333 0.750
Dy1 0.000 0.000 0.500
Ho1 0.000 0.000 0.000
O1 0.333 0.667 0.583
O2 0.333 0.667 0.917
O3 0.667 0.333 0.083
O4 0.667 0.333 0.417

Properties
Space-group type   P-3m1, No. 164


(7)
Computed, not measured: an optimized crystal structure of K2MoS4 at the GGA-PBE level of DFT.

a = 9.456 Å, b = 6.902 Å, c = 12.262 Å
α = 90.00°, β = 90.00°, γ = 90.00°
Fractional coordinates of all 28 atoms:
K1 0.044 0.250 0.162
K2 0.159 0.750 0.387
K3 0.341 0.250 0.887
K4 0.456 0.750 0.662
K5 0.544 0.250 0.338
K6 0.659 0.750 0.113
K7 0.841 0.250 0.613
K8 0.956 0.750 0.838
Mo1 0.247 0.750 0.068
Mo2 0.253 0.250 0.568
Mo3 0.747 0.750 0.432
Mo4 0.753 0.250 0.932
S1 0.019 0.750 0.108
S2 0.151 0.506 0.640
S3 0.151 0.994 0.640
S4 0.217 0.250 0.391
S5 0.283 0.750 0.891
S6 0.349 0.006 0.140
S7 0.349 0.494 0.140
S8 0.481 0.250 0.608
S9 0.519 0.750 0.392
S10 0.651 0.506 0.860
S11 0.651 0.994 0.860
S12 0.717 0.250 0.109
S13 0.783 0.750 0.609
S14 0.849 0.006 0.360
S15 0.849 0.494 0.360
S16 0.981 0.250 0.892

Properties
Space-group type   Pnma, No. 62


(8)
Computed, not measured: an optimized crystal structure of Hf2Zn3Cu at the GGA-PBE level of DFT.

a = 3.052 Å, b = 3.052 Å, c = 10.423 Å
α = 90.00°, β = 90.00°, γ = 90.00°
Fractional coordinates of all 6 atoms:
Hf1 0.000 0.000 0.000
Hf2 0.500 0.500 0.482
Zn1 0.000 0.000 0.668
Zn2 0.500 0.500 0.182
Zn3 0.500 0.500 0.814
Cu1 0.000 0.000 0.312

Properties
Space-group type   P4mm, No. 99


| no. | electronic total energy (eV/atom) | total moment (μB/f.u.) |
| --- | --- | --- |
| 1 | -9.21 | 0.0 |
| 2 | -3.19 | 0.0 |
| 3 | -6.84 | 0.0 |
| 4 | -6.25 | 0.0 |
| 5 | -7.20 | 0.0 |
| 6 | -6.47 | 0.0 |
| 7 | -5.16 | 0.0 |
| 8 | -4.70 | 0.0 |